(1)
PBE ZrBPd2, relaxed; total moment = 0.0 Bohr magnetons per cell; DFT total energy = -25.775 eV/f.u.; space-group type = F-43m, No. 216
1.0
-4.255 -0.086 1.063
-1.698 3.172 2.509
-2.756 2.935 -1.741
Pd B Zr
2 1 1
Direct
0.750 0.750 0.750 Pd
0.000 0.000 0.000 Pd
0.500 0.500 0.500 B
0.250 0.250 0.250 Zr

=====

(2)
PBE Lu8C3S2N3, relaxed; total moment = 0.0 Bohr magnetons per cell; DFT total energy = -117.938 eV/f.u.; space-group type = P-3m1, No. 164
1.0
-2.950 1.774 -0.492
1.135 -2.198 -2.443
-12.257 -17.572 10.117
S Lu N C
2 8 3 3
Direct
0.333 0.667 0.258 S
0.667 0.333 0.742 S
0.000 0.000 0.175 Lu
0.000 0.000 0.667 Lu
0.667 0.333 0.556 Lu
0.000 0.000 0.333 Lu
0.667 0.333 0.939 Lu
0.333 0.667 0.444 Lu
0.333 0.667 0.061 Lu
0.000 0.000 0.825 Lu
0.667 0.333 0.384 N
0.333 0.667 0.616 N
0.000 0.000 0.500 N
0.667 0.333 0.124 C
0.000 0.000 0.000 C
0.333 0.667 0.876 C